Crystalline SmTm2Mg9 at its relaxed geometry. Source: the Alexandria database, functional PBE.

Summary:
DFT total energy (eV for the cell shown): -28.42
Formation energy from the elements (kJ/mol of atoms): -3.2
Symmetry: R-3m (166)

POSCAR file:
```
SmTm2Mg9
1.0
3.0128 1.7394 9.6889
-3.0128 1.7394 9.6889
0.0000 -3.4789 9.6889
Sm Tm Mg
1 2 9
Cartesian
0.0000 0.0000 0.0000
0.0000 0.0000 4.1954
0.0000 0.0000 24.8714
-1.5308 -0.8838 12.1574
0.0000 0.0000 9.7111
0.0000 -1.7676 16.9094
-1.5308 0.8838 16.9094
0.0000 0.0000 14.5334
1.5308 -0.8838 12.1574
0.0000 1.7676 12.1574
0.0000 0.0000 19.3557
1.5308 0.8838 16.9094
```

---

Crystalline Sm5Tm2Mg at its relaxed geometry. Source: the Alexandria database, functional PBE.

Summary:
DFT total energy (eV for the cell shown): -67.05
Formation energy from the elements (kJ/mol of atoms): 7.4
Relative energy among the computed polymorphs (meV/atom): 66
Symmetry: Cmcm (63)

POSCAR file:
```
Sm5Tm2Mg
1.0
2.5982 -5.6591 0.0000
2.5982 5.6591 0.0000
0.0000 0.0000 17.5239
Sm Tm Mg
10 4 2
Cartesian
2.5982 5.2880 13.1430
2.5982 3.9911 9.4214
2.5982 3.9911 16.8645
2.5982 0.5756 10.3886
2.5982 0.5756 15.8973
2.5982 -0.5756 1.6267
2.5982 -0.5756 7.1353
2.5982 -3.9911 0.6595
2.5982 -3.9911 8.1025
2.5982 -5.2880 4.3810
2.5982 2.7835 2.6748
2.5982 2.7835 6.0872
2.5982 -2.7835 11.4367
2.5982 -2.7835 14.8492
2.5982 2.0440 13.1430
2.5982 -2.0440 4.3810
```

---

Crystalline Sm2TmMg4 at its relaxed geometry. Source: the Alexandria database, functional PBE.

Summary:
DFT total energy (eV for the cell shown): -16.38
Formation energy from the elements (kJ/mol of atoms): 53.8
Relative energy among the computed polymorphs (meV/atom): 427
Symmetry: I4/mmm (139)

POSCAR file:
```
Sm2TmMg4
1.0
-2.7735 2.7735 8.0941
2.7735 -2.7735 8.0941
2.7735 2.7735 -8.0941
Sm Tm Mg
2 1 4
Cartesian
0.0000 0.0000 1.7146
0.0000 0.0000 14.4735
0.0000 0.0000 8.0941
2.7735 0.0000 0.0000
0.0000 0.0000 5.0751
0.0000 2.7735 0.0000
0.0000 0.0000 11.1130
```

---

Crystalline Sm5Tm2Mg at its relaxed geometry. Source: the Alexandria database, functional PBE.

Summary:
DFT total energy (eV for the cell shown): -68.10
Formation energy from the elements (kJ/mol of atoms): 1.0
Relative energy among the computed polymorphs (meV/atom): 0
Symmetry: Pmmn (59)

POSCAR file:
```
Sm5Tm2Mg
1.0
3.5697 0.0000 0.0000
0.0000 23.0074 0.0000
0.0000 0.0000 6.1391
Sm Tm Mg
10 4 2
Cartesian
0.8924 2.7938 0.5133
0.8924 8.7099 0.5133
0.8924 14.4719 2.5610
0.8924 17.2556 0.4420
0.8924 20.0392 2.5610
2.6773 2.9682 3.5781
2.6773 5.7519 5.6971
2.6773 8.5355 3.5781
2.6773 14.2975 5.6258
2.6773 20.2136 5.6258
0.8924 0.0440 4.5933
0.8924 11.4597 4.5933
2.6773 11.5477 1.5459
2.6773 22.9634 1.5459
0.8924 5.7519 2.5752
2.6773 17.2556 3.5639
```

---

Crystalline Sm4TmMg5 at its relaxed geometry. Source: the Alexandria database, functional PBE.

Summary:
DFT total energy (eV for the cell shown): -32.23
Formation energy from the elements (kJ/mol of atoms): -8.7
Symmetry: P4/mmm (123)

POSCAR file:
```
Sm4TmMg5
1.0
3.8227 0.0000 0.0000
0.0000 3.8227 0.0000
0.0000 0.0000 19.1928
Sm Tm Mg
4 1 5
Cartesian
0.0000 0.0000 1.9467
0.0000 0.0000 5.8273
0.0000 0.0000 13.3655
0.0000 0.0000 17.2461
0.0000 0.0000 9.5964
1.9114 1.9114 0.0000
1.9114 1.9114 3.8844
1.9114 1.9114 7.7748
1.9114 1.9114 11.4180
1.9114 1.9114 15.3084
```

---

Crystalline Sm6TmMg5 at its relaxed geometry. Source: the Alexandria database, functional PBE.

Summary:
DFT total energy (eV for the cell shown): -41.40
Formation energy from the elements (kJ/mol of atoms): -5.2
Symmetry: P2/m (10)

POSCAR file:
```
Sm6TmMg5
1.0
5.4671 0.0000 0.0000
0.0000 7.7375 0.0000
-2.7302 0.0000 8.2563
Sm Tm Mg
6 1 5
Cartesian
0.0000 1.8627 0.0000
0.0000 5.8747 0.0000
0.0122 1.9193 5.4583
0.0122 5.8182 5.4583
2.7248 1.9193 2.7980
2.7248 5.8182 2.7980
2.7336 3.8687 0.0000
-0.0096 3.8687 2.6811
-0.0126 0.0000 2.7620
2.7336 0.0000 0.0000
2.7496 0.0000 5.4943
2.7465 3.8687 5.5752
```

---

Crystalline Sm8Tm3Mg at its relaxed geometry. Source: the Alexandria database, functional PBE.

Summary:
DFT total energy (eV for the cell shown): -45.97
Formation energy from the elements (kJ/mol of atoms): 54.6
Symmetry: I-42m (121)

POSCAR file:
```
Sm8Tm3Mg
1.0
-4.3091 4.3091 5.7299
4.3091 -4.3091 5.7299
4.3091 4.3091 -5.7299
Sm Tm Mg
8 3 1
Cartesian
3.2084 3.2084 -2.9167
2.1238 2.1238 -0.1803
2.1853 -2.1853 5.9102
1.1007 1.1007 2.8132
1.1007 -1.1007 8.6466
2.1853 2.1853 5.5496
-2.1853 2.1853 5.9102
-1.1007 1.1007 8.6466
0.0000 0.0000 0.0000
4.3091 0.0000 2.8650
0.0000 4.3091 2.8650
0.0000 0.0000 5.7299
```

---

Crystalline SmTmMg3 at its relaxed geometry. Source: the Alexandria database, functional PBE.

Summary:
DFT total energy (eV for the cell shown): -55.21
Formation energy from the elements (kJ/mol of atoms): 3.3
Relative energy among the computed polymorphs (meV/atom): 12
Symmetry: C2/c (15)

POSCAR file:
```
SmTmMg3
1.0
9.8585 -7.9157 0.0000
9.8585 7.9157 0.0000
-0.0057 0.0000 3.5170
Sm Tm Mg
4 4 12
Cartesian
4.3400 1.5671 0.8632
4.3372 -1.5671 2.6217
15.3741 1.5671 0.8953
15.3712 -1.5671 2.6537
9.8542 4.3035 2.6377
9.8571 1.4015 0.8792
9.8542 -1.4015 2.6377
9.8571 -4.3035 0.8792
8.3409 6.6671 0.8933
7.0064 3.7592 0.8847
11.3732 6.6671 0.8651
7.1555 1.2047 2.6328
12.7077 3.7592 0.8738
7.1584 -1.2047 0.8743
12.5529 1.2047 2.6426
7.0035 -3.7592 2.6432
12.5557 -1.2047 0.8841
8.3380 -6.6671 2.6518
12.7048 -3.7592 2.6322
11.3704 -6.6671 2.6236
```

---

Crystalline SmTmMg14 at its relaxed geometry. Source: the Alexandria database, functional PBE.

Summary:
DFT total energy (eV for the cell shown): -31.97
Formation energy from the elements (kJ/mol of atoms): -2.8
Symmetry: P4/mmm (123)

POSCAR file:
```
SmTmMg14
1.0
6.9249 0.0000 0.0000
0.0000 6.9249 0.0000
0.0000 0.0000 8.0112
Sm Tm Mg
1 1 14
Cartesian
0.0000 0.0000 0.0000
3.4624 3.4624 0.0000
0.0000 0.0000 4.0056
0.0000 3.4624 0.0000
0.0000 3.4624 4.0056
1.7463 1.7463 2.0935
1.7463 1.7463 5.9177
1.7463 5.1786 2.0935
1.7463 5.1786 5.9177
3.4624 0.0000 0.0000
3.4624 0.0000 4.0056
3.4624 3.4624 4.0056
5.1786 1.7463 2.0935
5.1786 1.7463 5.9177
5.1786 5.1786 2.0935
5.1786 5.1786 5.9177
```

---

Crystalline Sm8Tm2Mg at its relaxed geometry. Source: the Alexandria database, functional PBE.

Summary:
DFT total energy (eV for the cell shown): -43.98
Formation energy from the elements (kJ/mol of atoms): 37.9
Relative energy among the computed polymorphs (meV/atom): 240
Symmetry: C2/m (12)

POSCAR file:
```
Sm8Tm2Mg
1.0
5.9511 -5.6702 0.0000
5.9511 5.6702 0.0000
-1.4321 0.0000 5.7846
Sm Tm Mg
8 2 1
Cartesian
0.5401 0.0000 1.6815
4.4167 2.7136 1.2403
1.4267 0.0000 5.2394
6.0535 2.7136 4.5443
4.4167 -2.7136 1.2403
9.0435 0.0000 0.5452
6.0535 -2.7136 4.5443
9.9301 0.0000 4.1031
3.6397 0.0000 2.9317
6.8305 0.0000 2.8530
5.9511 0.0000 0.0000
```

---

Crystalline SmTmMg4 at its relaxed geometry. Source: the Alexandria database, functional PBE.

Summary:
DFT total energy (eV for the cell shown): -15.82
Formation energy from the elements (kJ/mol of atoms): -4.0
Relative energy among the computed polymorphs (meV/atom): 31
Symmetry: C2/m (12)

POSCAR file:
```
SmTmMg4
1.0
6.9047 -1.7134 0.0000
6.9047 1.7134 0.0000
-1.6857 0.0000 6.6213
Sm Tm Mg
1 1 4
Cartesian
0.0000 0.0000 0.0000
-0.8428 0.0000 3.3107
4.1899 0.0000 1.0999
3.3913 0.0000 4.3627
8.7325 0.0000 2.2586
7.9338 0.0000 5.5214
```

---

Crystalline SmTm3Mg3 at its relaxed geometry. Source: the Alexandria database, functional PBE.

Summary:
DFT total energy (eV for the cell shown): -45.80
Formation energy from the elements (kJ/mol of atoms): 0.2
Symmetry: P2_1/m (11)

POSCAR file:
```
SmTm3Mg3
1.0
9.0703 0.0000 0.0000
0.0000 5.4849 0.0000
-4.5328 0.0000 7.8642
Sm Tm Mg
2 6 6
Cartesian
0.0067 1.3712 2.6210
4.5308 4.1137 5.2432
-1.2623 4.1137 6.3038
2.5568 1.3712 0.3108
0.7220 1.3712 5.9892
3.8155 4.1137 1.8750
1.9806 4.1137 7.5534
5.7997 1.3712 1.5605
-2.5761 1.3712 4.8460
0.6366 4.1137 0.7246
1.3203 4.1137 4.1239
3.2172 1.3712 3.7404
3.9009 1.3712 7.1397
7.1136 4.1137 3.0183
```

---

Crystalline Sm3TmMg4 at its relaxed geometry. Source: the Alexandria database, functional PBE.

Summary:
DFT total energy (eV for the cell shown): -25.72
Formation energy from the elements (kJ/mol of atoms): -8.6
Symmetry: Pmmm (47)

POSCAR file:
```
Sm3TmMg4
1.0
3.8339 0.0000 0.0000
0.0000 5.3949 0.0000
0.0000 0.0000 10.8023
Sm Tm Mg
3 1 4
Cartesian
0.0000 0.0000 0.0000
0.0000 2.6975 2.7163
0.0000 2.6975 8.0860
0.0000 0.0000 5.4012
1.9169 0.0000 2.7481
1.9169 0.0000 8.0542
1.9169 2.6975 0.0000
1.9169 2.6975 5.4012
```

---

Crystalline SmTmMg at its relaxed geometry. Source: the Alexandria database, functional PBE.

Summary:
DFT total energy (eV for the cell shown): -10.90
Formation energy from the elements (kJ/mol of atoms): -3.6
Relative energy among the computed polymorphs (meV/atom): 1
Symmetry: I4mm (107)

POSCAR file:
```
SmTmMg
1.0
-1.8072 1.8072 6.7013
1.8072 -1.8072 6.7013
1.8072 1.8072 -6.7013
Sm Tm Mg
1 1 1
Cartesian
0.0000 0.0000 0.0000
0.0000 0.0000 9.0824
0.0000 0.0000 4.4741
```

---

Crystalline Sm9TmMg2 at its relaxed geometry. Source: the Alexandria database, functional PBE.

Summary:
DFT total energy (eV for the cell shown): -50.03
Formation energy from the elements (kJ/mol of atoms): 0.9
Symmetry: P4/mmm (123)

POSCAR file:
```
Sm9TmMg2
1.0
5.0097 0.0000 0.0000
0.0000 5.0097 0.0000
0.0000 0.0000 15.1111
Sm Tm Mg
9 1 2
Cartesian
0.0000 0.0000 0.0000
0.0000 0.0000 5.0675
0.0000 0.0000 10.0435
0.0000 2.5048 2.5554
0.0000 2.5048 7.5555
0.0000 2.5048 12.5557
2.5048 0.0000 2.5554
2.5048 0.0000 7.5555
2.5048 0.0000 12.5557
2.5048 2.5048 0.0000
2.5048 2.5048 5.0887
2.5048 2.5048 10.0224
```

---

Crystalline Sm6Tm12Mg at its relaxed geometry. Source: the Alexandria database, functional PBE.

Summary:
DFT total energy (eV for the cell shown): -80.97
Formation energy from the elements (kJ/mol of atoms): 13.2
Symmetry: R-3m (166)

POSCAR file:
```
Sm6Tm12Mg
1.0
6.4573 3.7281 4.2529
-6.4573 3.7281 4.2529
0.0000 -7.4562 4.2529
Sm Tm Mg
6 12 1
Cartesian
-1.7692 -1.0214 3.4852
1.7692 -1.0214 3.4852
0.0000 2.0429 3.4852
0.0000 -2.0429 9.2735
-1.7692 1.0214 9.2735
1.7692 1.0214 9.2735
0.0000 -4.2489 3.6396
-3.6796 2.1244 3.6396
-1.6884 -2.9243 6.3794
-3.3767 0.0000 6.3794
-3.6796 -2.1244 9.1191
1.6884 -2.9243 6.3794
-1.6884 2.9243 6.3794
3.6797 2.1245 3.6396
3.3767 0.0000 6.3794
1.6884 2.9243 6.3794
3.6797 -2.1245 9.1191
0.0000 4.2489 9.1191
0.0000 0.0000 6.3794
```

---

Crystalline SmTm2Mg4 at its relaxed geometry. Source: the Alexandria database, functional PBE.

Summary:
DFT total energy (eV for the cell shown): -17.35
Formation energy from the elements (kJ/mol of atoms): 37.1
Relative energy among the computed polymorphs (meV/atom): 232
Symmetry: Cmmm (65)

POSCAR file:
```
SmTm2Mg4
1.0
2.9789 -6.4421 0.0000
2.9789 6.4421 0.0000
0.0000 0.0000 5.4501
Sm Tm Mg
1 2 4
Cartesian
0.0000 0.0000 0.0000
2.9789 1.6672 2.7251
2.9789 -1.6672 2.7251
2.9789 4.8446 2.7251
2.9789 3.2131 0.0000
2.9789 -3.2131 0.0000
2.9789 -4.8446 2.7251
```

---

Crystalline Sm15Tm2Mg2 at its relaxed geometry. Source: the Alexandria database, functional PBE.

Summary:
DFT total energy (eV for the cell shown): -78.38
Formation energy from the elements (kJ/mol of atoms): 23.1
Symmetry: R-3m (166)

POSCAR file:
```
Sm15Tm2Mg2
1.0
5.6078 3.2377 5.8338
-5.6078 3.2377 5.8338
0.0000 -6.4754 5.8338
Sm Tm Mg
15 2 2
Cartesian
-5.6078 0.0000 8.7507
-1.6707 -3.5816 5.8338
-2.8039 1.6188 2.9169
-3.9371 0.3439 5.8338
-2.6815 -1.5481 8.2846
1.6707 -3.5816 5.8338
-2.2664 3.2377 5.8338
0.0000 -3.0963 9.2168
-2.6815 1.5481 9.2168
2.8039 1.6188 2.9169
2.6815 -1.5481 8.2846
0.0000 3.0963 8.2846
3.9371 0.3439 5.8338
2.2664 3.2377 5.8338
2.6815 1.5481 9.2168
0.0000 0.0000 5.5781
0.0000 0.0000 11.9233
0.0000 0.0000 1.6216
0.0000 0.0000 15.8798
```

---

Crystalline Sm2TmMg3 at its relaxed geometry. Source: the Alexandria database, functional PBE.

Summary:
DFT total energy (eV for the cell shown): -19.20
Formation energy from the elements (kJ/mol of atoms): -8.1
Symmetry: P4/mmm (123)

POSCAR file:
```
Sm2TmMg3
1.0
3.8112 0.0000 0.0000
0.0000 3.8112 0.0000
0.0000 0.0000 11.4628
Sm Tm Mg
2 1 3
Cartesian
0.0000 0.0000 1.9518
0.0000 0.0000 9.5110
0.0000 0.0000 5.7314
1.9056 1.9056 0.0000
1.9056 1.9056 3.9065
1.9056 1.9056 7.5562
```

---

Crystalline Sm2Tm2Mg at its relaxed geometry. Source: the Alexandria database, functional PBE.

Summary:
DFT total energy (eV for the cell shown): -39.96
Formation energy from the elements (kJ/mol of atoms): -0.1
Relative energy among the computed polymorphs (meV/atom): 0
Symmetry: Cmcm (63)

POSCAR file:
```
Sm2Tm2Mg
1.0
8.9428 -3.0629 0.0000
8.9428 3.0629 0.0000
0.0000 0.0000 5.5571
Sm Tm Mg
4 4 2
Cartesian
7.2181 1.9450 4.1678
10.6674 1.9450 4.1678
7.2181 -1.9450 1.3893
10.6674 -1.9450 1.3893
5.2810 1.0081 1.3893
5.2810 -1.0081 4.1678
12.6045 1.0081 1.3893
12.6045 -1.0081 4.1678
8.9428 1.0369 1.3893
8.9428 -1.0369 4.1678
```